A plane-wave DFT calculation with PBE-GGA was carried out for a geometry-optimized TbEr5Hg2 structure.

Cell: 3.690 10.092 12.270 Å, 90.00 90.00 90.00°
Space group Immm (No. 71)
Inequivalent atoms, fractional coordinates:
Tb: 0.000 0.000 0.000
Er: 0.000 0.226 0.364
Er: 0.000 0.500 0.000
Hg: 0.000 0.500 0.262

## Properties
formation energy from the elements	-0.16	eV per atom